! MgPb2WO6, relaxed, DFT PBE+U; values from VASP
! V: 13.23 Å³ per atom
! energy above the lowest structure with this stoichiometry: 0 meV per atom
! space group: P2_1/c, No. 14
! DFT total energy: -129.0 eV per cell
! size of the total moment: 0.00 Bohr magnetons per cell
&SYSTEM
  ibrav = 0, nat = 20, ntyp = 4
/
ATOMIC_SPECIES
Mg 24.30 Mg.upf
Pb 207.20 Pb.upf
W 183.84 W.upf
O 16.00 O.upf
CELL_PARAMETERS angstrom
-4.293 -3.116 2.187
2.973 -0.705 4.831
-3.314 6.710 3.019
ATOMIC_POSITIONS angstrom
Mg -2.146 -1.558 1.093
Mg -0.171 3.002 3.925
Pb 2.087 0.964 5.533
Pb -3.127 3.096 5.844
Pb -6.721 1.924 4.503
Pb -1.507 -0.207 4.192
W -3.803 1.797 2.603
W 1.486 -0.353 2.415
O 0.941 -1.126 4.135
O -2.693 0.631 7.015
O -5.575 4.014 5.901
O -1.942 2.258 3.022
O -0.573 1.766 5.607
O -4.309 3.547 8.318
O -4.062 1.123 4.430
O -0.325 -0.658 1.719
O -3.354 -1.697 5.236
O -1.412 2.871 8.013
O -1.280 4.586 4.800
O -3.222 0.017 2.023